DFT (PBE) results for an optimized crystal structure of BaTlTe2I.

**M_tot**: 1.84 μB/f.u.
**Relative energy among the computed polymorphs**: 0.264 eV per atom
**Raw formation energy**: -0.3523 eV per atom

Cell: 6.6445 6.6445 6.7018 Å, 90.00 90.00 90.00°
Space group P4/mmm (No. 123)
Asymmetric unit:
Ba (0.0000, 0.0000, 0.0000)
Tl (0.5000, 0.5000, 0.5000)
Te (0.0000, 0.5000, 0.0000)
I (0.0000, 0.0000, 0.5000)

***

DFT (PBE) results for an optimized crystal structure of BaVTe2I.

**M_tot**: 0.09 μB/f.u.
**Relative energy among the computed polymorphs**: 1.562 eV per atom
**Raw formation energy**: 0.8189 eV per atom

Cell: 6.4647 6.4647 6.4395 Å, 90.00 90.00 90.00°
Space group P4/mmm (No. 123)
Asymmetric unit:
Ba (0.0000, 0.0000, 0.0000)
V (0.5000, 0.5000, 0.5000)
Te (0.0000, 0.5000, 0.0000)
I (0.0000, 0.0000, 0.5000)

***

DFT (PBE) results for an optimized crystal structure of BaVTe2I.

**M_tot**: 2.20 μB/f.u.
**Relative energy among the computed polymorphs**: 0.000 eV per atom
**Raw formation energy**: -0.7428 eV per atom

Cell: 5.4343 5.4343 5.7079 Å, 90.00 90.00 90.00°
Space group P4/mmm (No. 123)
Asymmetric unit:
Ba (0.0000, 0.0000, 0.0000)
V (0.5000, 0.5000, 0.5000)
Te (0.0000, 0.5000, 0.5000)
I (0.5000, 0.5000, 0.0000)

***

DFT (PBE) results for an optimized crystal structure of BaYTeI2.

**M_tot**: 0.00 μB/f.u.
**Relative energy among the computed polymorphs**: 0.000 eV per atom
**Raw formation energy**: -1.2020 eV per atom

Cell: 5.9213 5.9213 5.9794 Å, 90.00 90.00 90.00°
Space group P4/mmm (No. 123)
Asymmetric unit:
Ba (0.0000, 0.0000, 0.0000)
Y (0.5000, 0.5000, 0.5000)
Te (0.5000, 0.5000, 0.0000)
I (0.0000, 0.5000, 0.5000)

***

DFT (PBE) results for an optimized crystal structure of BaYTeI2.

**M_tot**: 0.97 μB/f.u.
**Relative energy among the computed polymorphs**: 0.807 eV per atom
**Raw formation energy**: -0.3951 eV per atom

Cell: 6.3657 6.3657 6.7413 Å, 90.00 90.00 90.00°
Space group P4/mmm (No. 123)
Asymmetric unit:
Ba (0.0000, 0.0000, 0.0000)
Y (0.5000, 0.5000, 0.5000)
Te (0.0000, 0.0000, 0.5000)
I (0.0000, 0.5000, 0.0000)

***

DFT (PBE) results for an optimized crystal structure of BaZnTeI2.

**M_tot**: 0.00 μB/f.u.
**Relative energy among the computed polymorphs**: 0.000 eV per atom
**Raw formation energy**: -0.8774 eV per atom

Cell: 5.6891 5.6891 5.5738 Å, 90.00 90.00 90.00°
Space group P4/mmm (No. 123)
Asymmetric unit:
Ba (0.0000, 0.0000, 0.0000)
Zn (0.5000, 0.5000, 0.5000)
Te (0.5000, 0.5000, 0.0000)
I (0.0000, 0.5000, 0.5000)

***

DFT (PBE) results for an optimized crystal structure of BaZnTeI2.

**M_tot**: 2.02 μB/f.u.
**Relative energy among the computed polymorphs**: 0.532 eV per atom
**Raw formation energy**: -0.3450 eV per atom

Cell: 6.7294 6.7294 7.1863 Å, 90.00 90.00 90.00°
Space group P4/mmm (No. 123)
Asymmetric unit:
Ba (0.0000, 0.0000, 0.0000)
Zn (0.5000, 0.5000, 0.5000)
Te (0.0000, 0.0000, 0.5000)
I (0.0000, 0.5000, 0.0000)

***

DFT (PBE) results for an optimized crystal structure of BaZrTeI2.

**M_tot**: 2.01 μB/f.u.
**Relative energy among the computed polymorphs**: 1.068 eV per atom
**Raw formation energy**: 0.1816 eV per atom

Cell: 6.4077 6.4077 6.6859 Å, 90.00 90.00 90.00°
Space group P4/mmm (No. 123)
Asymmetric unit:
Ba (0.0000, 0.0000, 0.0000)
Zr (0.5000, 0.5000, 0.5000)
Te (0.0000, 0.0000, 0.5000)
I (0.0000, 0.5000, 0.0000)